Zn4CuIr2: relaxed, PBE-GGA.

Properties
**ΔE_f**: -0.0013 eV/atom
**Mass density**: 11.52 g/cm³
**SG**: C2/m
**Density of states at the Fermi level**: 6.86 states/eV/cell
**Crystal system**: monoclinic

a b c (Å): 5.320 7.890 4.938
angles (deg): 90.00 99.37 90.00
Sites, in units of the cell vectors:
Zn (0.000, 0.182, 0.000)
Zn (0.000, 0.818, 0.000)
Zn (0.250, 0.250, 0.500)
Zn (0.250, 0.750, 0.500)
Zn (0.500, 0.318, 0.000)
Zn (0.500, 0.682, 0.000)
Zn (0.750, 0.250, 0.500)
Zn (0.750, 0.750, 0.500)
Cu (0.000, 0.000, 0.500)
Cu (0.500, 0.500, 0.500)
Ir (0.097, 0.500, 0.781)
Ir (0.403, 0.000, 0.219)
Ir (0.597, 0.000, 0.781)
Ir (0.903, 0.500, 0.219)